A plane-wave DFT calculation with PBE-GGA was carried out for a relaxed Dy7Ga2Ru2 crystal.

Cell: 7.6329 10.8602 7.0246 Å, 90.00 90.00 90.00°
Space group Cmmm (No. 65)
Symmetry-distinct sites (fractional):
Dy 0.0000 0.0000 0.0000 (multiplicity 2)
Dy 0.0000 0.5000 0.2538 (multiplicity 4)
Dy 0.2500 0.2500 0.2623 (multiplicity 8)
Ga 0.1677 0.0000 0.5000 (multiplicity 4)
Ru 0.0000 0.3007 0.0000 (multiplicity 4)

- total energy (eV per cell) = -119.932
- magnetization (μB/cell) = 0.00